(1)
CsInC2Cl | GGA-PBE | optimized geometry

Cell and atoms, written as POSCAR:
```
CsInC2Cl
1.0
-0.577 -5.391 0.276
5.664 -0.437 3.321
-2.702 0.529 4.678
Cs C Cl In
1 2 1 1
Cartesian
0.000 0.000 0.000
-1.351 0.264 2.339
-0.289 -2.695 0.138
2.832 -0.218 1.661
1.192 -2.649 4.138
```

Properties
Space-group type   P4/mmm, No. 123
Formation energy (no corrections)   11.20 eV/f.u.
Calculated volume   194 Å³ per cell

(2)
Cs2InCCl6 | GGA-PBE | optimized geometry

Cell and atoms, written as POSCAR:
```
Cs2InCCl6
1.0
-0.898 -6.700 2.624
4.139 -2.644 -5.335
5.782 -4.081 1.579
Cs C Cl In
2 1 6 1
Cartesian
3.252 -7.726 1.423
5.770 -5.698 -2.556
1.620 -4.672 -1.356
3.632 -4.386 0.063
5.390 -9.039 -1.196
0.846 -2.439 -0.708
2.395 -6.905 -2.004
0.417 -5.642 0.546
2.824 -3.703 -3.258
0.000 0.000 0.000
```

Properties
Space-group type   I4/mmm, No. 139
Formation energy (no corrections)   -6.98 eV/f.u.
Calculated volume   270 Å³ per cell

(3)
Cs2LaCCl6 | GGA-PBE | optimized geometry

Cell and atoms, written as POSCAR:
```
Cs2LaCCl6
1.0
7.287 0.000 0.000
0.000 7.287 0.000
3.643 3.643 6.279
Cs C Cl La
2 1 6 1
Cartesian
7.287 3.643 3.139
3.643 7.287 3.139
3.643 3.643 0.000
3.643 3.643 3.515
7.287 7.287 2.764
1.966 1.966 0.000
5.320 5.320 0.000
5.320 1.966 0.000
1.966 5.320 0.000
0.000 0.000 0.000
```

Properties
Space-group type   I4/mmm, No. 139
Formation energy (no corrections)   -12.13 eV/f.u.
Calculated volume   333 Å³ per cell

(4)
CsMg2CCl | GGA-PBE | optimized geometry

Cell and atoms, written as POSCAR:
```
CsMg2CCl
1.0
7.248 0.000 0.000
0.000 5.312 0.000
0.000 0.000 7.248
Cs Mg C Cl
1 2 1 1
Cartesian
0.000 0.000 0.000
0.000 0.000 3.624
3.624 0.000 0.000
0.000 2.656 0.000
3.624 2.656 3.624
```

Properties
Space-group type   P4/mmm, No. 123
Formation energy (no corrections)   7.96 eV/f.u.
Calculated volume   279 Å³ per cell

(5)
Cs2MgCCl6 | GGA-PBE | optimized geometry

Cell and atoms, written as POSCAR:
```
Cs2MgCCl6
1.0
-3.236 4.645 -4.288
-5.618 0.098 4.345
-2.375 6.170 2.595
Cs Mg C Cl
2 1 1 6
Cartesian
-5.019 6.594 -0.833
-6.210 4.320 3.484
0.000 0.000 0.000
-4.427 2.372 0.028
-3.431 4.215 1.274
-7.798 6.698 1.377
-2.282 1.223 0.014
-6.572 3.521 0.042
-3.850 3.473 -2.063
-5.004 1.270 2.120
```

Properties
Space-group type   Fm-3m, No. 225
Formation energy (no corrections)   -8.75 eV/f.u.
Calculated volume   253 Å³ per cell

(6)
Cs2MnCCl6 | GGA-PBE | optimized geometry

Cell and atoms, written as POSCAR:
```
Cs2MnCCl6
1.0
6.939 0.000 0.000
0.000 6.939 0.000
3.469 3.469 5.544
Cs C Mn Cl
2 1 1 6
Cartesian
6.939 3.469 2.772
3.469 6.939 2.772
3.469 3.469 0.000
0.000 0.000 0.000
3.469 3.469 3.233
6.939 6.939 2.310
1.816 1.816 0.000
5.123 5.123 0.000
5.123 1.816 0.000
1.816 5.123 0.000
```

Properties
Space-group type   I4/mmm, No. 139
Formation energy (no corrections)   -6.93 eV/f.u.
Calculated volume   267 Å³ per cell